[1]
Compound: NbGa2Tc2
Source: Alexandria
Functional: PBE-GGA
Structure: optimized geometry

Structure (POSCAR):
```
NbGa2Tc2
1.0
6.992 0.000 0.000
0.000 6.992 0.000
0.000 0.000 3.139
Nb Tc Ga
2 4 4
direct
0.000 0.000 0.000
0.500 0.500 0.000
0.169 0.669 0.500
0.669 0.831 0.500
0.831 0.331 0.500
0.331 0.169 0.500
0.370 0.870 0.000
0.870 0.630 0.000
0.630 0.130 0.000
0.130 0.370 0.000
```

Energy of formation ... -135 meV per atom
Space group ... P4/mbm, No. 127



[2]
Compound: Nb2Ga2Tc
Source: Alexandria
Functional: PBE-GGA
Structure: optimized geometry

Structure (POSCAR):
```
Nb2Ga2Tc
1.0
-5.281 -4.072 0.663
3.507 -3.865 4.204
-1.170 1.971 2.788
Nb Tc Ga
4 2 4
direct
0.171 0.671 0.500
0.671 0.829 0.500
0.829 0.329 0.500
0.329 0.171 0.500
0.000 0.000 0.000
0.500 0.500 0.000
0.369 0.869 0.000
0.869 0.631 0.000
0.631 0.131 0.000
0.131 0.369 0.000
```

Energy of formation ... -249 meV per atom
Space group ... P4/mbm, No. 127



[3]
Compound: NbGaTc2
Source: Alexandria
Functional: PBE-GGA
Structure: optimized geometry

Structure (POSCAR):
```
NbGaTc2
1.0
3.218 0.000 0.000
0.000 3.218 0.000
0.000 0.000 5.966
Nb Tc Ga
1 2 1
direct
0.500 0.500 0.000
0.000 0.000 0.739
0.000 0.000 0.261
0.500 0.500 0.500
```

Energy of formation ... -211 meV per atom
Space group ... P4/mmm, No. 123



[4]
Compound: NbGaTc2
Source: Alexandria
Functional: PBE-GGA
Structure: optimized geometry

Structure (POSCAR):
```
NbGaTc2
1.0
6.905 0.000 0.000
0.000 6.905 0.000
3.453 3.453 2.823
Nb Tc Ga
2 4 2
direct
0.000 0.000 0.000
0.750 0.250 0.500
0.621 0.125 0.250
0.129 0.625 0.250
0.375 0.379 0.750
0.875 0.871 0.750
0.500 0.500 0.000
0.250 0.750 0.500
```

Energy of formation ... 539 meV per atom
Space group ... I-42d, No. 122



[5]
Compound: NbGa2Tc
Source: Alexandria
Functional: PBE-GGA
Structure: optimized geometry

Structure (POSCAR):
```
NbGa2Tc
1.0
2.929 0.000 0.000
1.465 2.537 0.000
1.465 0.846 8.677
Nb Ga Tc
1 2 1
direct
0.666 0.666 0.002
0.088 0.088 0.735
0.245 0.245 0.264
0.500 0.500 0.499
```

Energy of formation ... -92 meV per atom
Space group ... R3m, No. 160



[6]
Compound: NbGa2Tc
Source: Alexandria
Functional: PBE-GGA
Structure: optimized geometry

Structure (POSCAR):
```
NbGa2Tc
1.0
-0.062 2.624 3.152
-3.750 0.823 -0.759
-1.118 -2.893 2.387
Nb Tc Ga
1 1 2
direct
0.500 0.000 0.000
0.500 0.500 0.500
0.000 0.000 0.500
0.000 0.500 0.000
```

Energy of formation ... -110 meV per atom
Space group ... P4/mmm, No. 123



[7]
Compound: NbGaTc
Source: Alexandria
Functional: PBE-GGA
Structure: optimized geometry

Structure (POSCAR):
```
NbGaTc
1.0
-1.365 -1.704 -1.570
3.333 -4.866 4.687
-1.899 -0.222 1.892
Nb Tc Ga
1 1 1
direct
0.054 0.107 0.946
0.231 0.461 0.769
0.866 0.732 0.134
```

Energy of formation ... 518 meV per atom
Space group ... I4mm, No. 107



[8]
Compound: NbGaTc
Source: Alexandria
Functional: PBE-GGA
Structure: optimized geometry

Structure (POSCAR):
```
NbGaTc
1.0
-0.526 1.890 1.983
-4.285 -1.245 0.050
2.938 -2.007 2.693
Nb Tc Ga
1 1 1
direct
0.390 0.667 0.333
0.680 0.333 0.667
0.930 0.000 0.000
```

Energy of formation ... -173 meV per atom
Space group ... P3m1, No. 156



[9]
Compound: NbGa2Tc
Source: Alexandria
Functional: PBE-GGA
Structure: optimized geometry

Structure (POSCAR):
```
NbGa2Tc
1.0
0.000 3.139 3.139
3.139 0.000 3.139
3.139 3.139 0.000
Nb Tc Ga
1 1 2
direct
0.000 0.000 0.000
0.500 0.500 0.500
0.250 0.250 0.250
0.750 0.750 0.750
```

Energy of formation ... -61 meV per atom
Space group ... Fm-3m, No. 225



[10]
Compound: NbGaTc3
Source: Alexandria
Functional: PBE-GGA
Structure: optimized geometry

Structure (POSCAR):
```
NbGaTc3
1.0
4.749 0.000 0.000
0.000 4.749 0.000
0.000 0.000 4.749
Nb Tc Ga
1 3 1
direct
0.000 0.000 0.000
0.000 0.500 0.000
0.000 0.000 0.500
0.500 0.000 0.000
0.500 0.500 0.500
```

Energy of formation ... 1721 meV per atom
Space group ... Pm-3m, No. 221



[11]
Compound: NbGaTc3
Source: Alexandria
Functional: PBE-GGA
Structure: optimized geometry

Structure (POSCAR):
```
NbGaTc3
1.0
-2.363 0.083 -3.804
-3.648 -1.323 2.237
-1.083 4.278 0.765
Nb Tc Ga
1 3 1
direct
0.500 0.500 0.500
0.000 0.500 0.000
0.000 0.000 0.500
0.500 0.000 0.000
0.000 0.000 0.000
```

Energy of formation ... 1215 meV per atom
Space group ... Pm-3m, No. 221



[12]
Compound: NbGa2Tc2
Source: Alexandria
Functional: PBE-GGA
Structure: optimized geometry

Structure (POSCAR):
```
NbGa2Tc2
1.0
7.003 0.000 0.000
0.000 7.003 0.000
0.000 0.000 3.235
Nb Tc Ga
2 4 4
direct
0.000 0.000 0.000
0.500 0.500 0.000
0.355 0.855 0.000
0.855 0.645 0.000
0.645 0.145 0.000
0.145 0.355 0.000
0.154 0.654 0.500
0.654 0.846 0.500
0.846 0.346 0.500
0.346 0.154 0.500
```

Energy of formation ... 22 meV per atom
Space group ... P4/mbm, No. 127



[13]
Compound: NbGa2Tc
Source: Alexandria
Functional: PBE-GGA
Structure: optimized geometry

Structure (POSCAR):
```
NbGa2Tc
1.0
-0.986 2.698 0.538
-1.168 0.637 2.603
7.156 3.394 4.022
Nb Tc Ga
1 1 2
direct
0.500 0.500 0.500
0.000 0.000 0.000
0.745 0.745 0.765
0.255 0.255 0.235
```

Energy of formation ... -41 meV per atom
Space group ... R-3m, No. 166



[14]
Compound: TiNbGa2Tc
Source: Alexandria
Functional: PBE-GGA
Structure: optimized geometry

Structure (POSCAR):
```
TiNbGa2Tc
1.0
-0.362 -0.234 4.918
3.873 -2.496 0.166
2.654 4.144 0.393
Nb Tc Ga Ti
1 1 2 1
direct
0.000 0.000 0.000
0.500 0.500 0.500
0.000 0.000 0.500
0.500 0.000 0.000
0.000 0.500 0.000
```

Energy of formation ... 1186 meV per atom
Space group ... P4/mmm, No. 123



[15]
Compound: TiNbGaTc
Source: Alexandria
Functional: PBE-GGA
Structure: optimized geometry

Structure (POSCAR):
```
TiNbGaTc
1.0
4.469 0.000 0.000
2.235 3.870 0.000
2.235 1.290 3.649
Nb Tc Ga Ti
1 1 1 1
direct
0.500 0.500 0.500
0.750 0.750 0.750
0.000 0.000 0.000
0.250 0.250 0.250
```

Energy of formation ... -307 meV per atom
Space group ... F-43m, No. 216



[16]
Compound: TmNbGaTc
Source: Alexandria
Functional: PBE-GGA
Structure: optimized geometry

Structure (POSCAR):
```
TmNbGaTc
1.0
-4.284 1.343 -1.357
-3.730 -2.639 1.059
-3.106 1.497 3.180
Nb Tm Tc Ga
1 1 1 1
direct
0.750 0.750 0.750
0.250 0.250 0.250
0.000 0.000 0.000
0.500 0.500 0.500
```

Energy of formation ... -197 meV per atom
Space group ... F-43m, No. 216



[17]
Compound: NbVGaTc
Source: Alexandria
Functional: PBE-GGA
Structure: optimized geometry

Structure (POSCAR):
```
NbVGaTc
1.0
4.429 0.000 0.000
2.215 3.836 0.000
2.215 1.279 3.616
Nb Tc Ga V
1 1 1 1
direct
0.750 0.750 0.750
0.000 0.000 0.000
0.250 0.250 0.250
0.500 0.500 0.500
```

Energy of formation ... -204 meV per atom
Space group ... F-43m, No. 216



[18]
Compound: NbZnGaTc2
Source: Alexandria
Functional: PBE-GGA
Structure: optimized geometry

Structure (POSCAR):
```
NbZnGaTc2
1.0
-0.272 -4.107 -2.347
3.764 -1.842 2.786
-3.133 -1.605 3.171
Zn Nb Tc Ga
1 1 2 1
direct
0.500 0.500 0.500
0.000 0.000 0.000
0.000 0.000 0.500
0.500 0.000 0.000
0.000 0.500 0.000
```

Energy of formation ... 1442 meV per atom
Space group ... P4/mmm, No. 123



[19]
Compound: NbGa2Te
Source: Alexandria
Functional: PBE-GGA
Structure: optimized geometry

Structure (POSCAR):
```
NbGa2Te
1.0
7.747 0.000 0.000
0.000 7.747 0.000
3.874 3.874 2.844
Nb Te Ga
2 2 4
direct
0.500 0.500 0.000
0.250 0.750 0.500
0.000 0.000 0.000
0.750 0.250 0.500
0.606 0.125 0.250
0.144 0.625 0.250
0.375 0.394 0.750
0.875 0.856 0.750
```

ΔE_f (raw) ... 0.296 eV per atom
Space group ... I-42d, No. 122



[20]
Compound: NbGaTe2
Source: Alexandria
Functional: PBE-GGA
Structure: optimized geometry

Structure (POSCAR):
```
NbGaTe2
1.0
-0.317 4.175 9.496
0.095 0.715 10.353
2.963 2.722 9.566
Nb Te Ga
1 2 1
direct
0.500 0.500 0.500
0.895 0.895 0.895
0.105 0.105 0.105
0.000 0.000 0.000
```

ΔE_f (raw) ... -0.177 eV per atom
Space group ... R-3m, No. 166



Here are the calculated E_tot numbers, same order: -75.06 -75.61 -34.67 -63.34 -26.86 -26.93 -21.91 -23.98 -26.73 -35.59 -38.12 -73.49 -26.65 -28.46 -32.59 -28.72 -33.40 -27.89 -36.17 -20.09 (eV for the cell shown).